Record 1
Here is a relaxed structure of La2TmInO6 from the Alexandria database. Energies are from GGA-PBE.

a = 5.8114 Å, b = 6.0176 Å, c = 8.4228 Å
α = 90.00°, β = 90.41°, γ = 90.00°
Closest atoms and distances in Å follow each position.
Fractional positions:
O (0.8778, 0.5525, 0.2496)  1 Tm 2.24, 1 In 2.25, 1 La 2.37
O (0.1222, 0.4475, 0.7504)  1 Tm 2.24, 1 In 2.25, 1 La 2.37
O (0.1976, 0.1977, 0.4340)  1 In 2.19, 1 Tm 2.22, 1 La 2.40
O (0.3778, 0.9475, 0.7496)  1 Tm 2.24, 1 In 2.25, 1 La 2.37
O (0.8065, 0.8025, 0.9366)  1 In 2.20, 1 Tm 2.21, 1 La 2.40
O (0.1935, 0.1975, 0.0634)  1 In 2.20, 1 Tm 2.21, 1 La 2.40
O (0.6935, 0.3025, 0.5634)  1 In 2.20, 1 Tm 2.21, 1 La 2.40
O (0.6222, 0.0525, 0.2504)  1 Tm 2.24, 1 In 2.25, 1 La 2.37
O (0.3024, 0.6977, 0.0660)  1 In 2.19, 1 Tm 2.22, 1 La 2.40
O (0.3065, 0.6975, 0.4366)  1 In 2.20, 1 Tm 2.21, 1 La 2.40
O (0.8024, 0.8023, 0.5660)  1 In 2.19, 1 Tm 2.22, 1 La 2.40
O (0.6976, 0.3023, 0.9340)  1 In 2.19, 1 Tm 2.22, 1 La 2.40
La (0.0160, 0.9491, 0.2486)  4 O 2.37-2.52
La (0.9840, 0.0509, 0.7514)  4 O 2.37-2.52
La (0.5160, 0.5509, 0.7486)  4 O 2.37-2.52
La (0.4840, 0.4491, 0.2514)  4 O 2.37-2.52
In (0.0000, 0.5000, 0.0000)  6 O 2.19-2.25
In (0.5000, 0.0000, 0.5000)  6 O 2.19-2.25
Tm (0.0000, 0.5000, 0.5000)  6 O 2.21-2.24
Tm (0.5000, 0.0000, 0.0000)  6 O 2.21-2.24

Space group ... P2_1/c, No. 14
Formation energy without anion corrections ... -2923.8 kJ/mol of formula units
Total energy ... -7.712 eV/atom

=====

Record 2
Here is a relaxed structure of La2TmInO from the Alexandria database. Energies are from GGA-PBE.

a = 4.6750 Å, b = 5.1482 Å, c = 5.1482 Å
α = 90.00°, β = 90.00°, γ = 90.00°
Closest atoms and distances in Å follow each position.
Fractional positions:
O (0.0000, 0.0000, 0.0000)  2 Tm 2.34, 4 La 2.57
Tm (0.5000, 0.0000, 0.0000)  2 O 2.34
La (0.0000, 0.5000, 0.0000)  2 O 2.57
La (0.0000, 0.0000, 0.5000)  2 O 2.57
In (0.5000, 0.5000, 0.5000)  8 La 3.48, 4 Tm 3.64

Space group ... P4/mmm, No. 123
Formation energy without anion corrections ... -679.0 kJ/mol of formula units
Total energy ... -5.812 eV/atom

=====

Question: What is the formation energy without anion corrections in the first record?
Answer: -2923.8 kJ/mol of formula units

=====

Please write out number 2 again, unchanged.
Here is a relaxed structure of La2TmInO from the Alexandria database. Energies are from GGA-PBE.

a = 4.6750 Å, b = 5.1482 Å, c = 5.1482 Å
α = 90.00°, β = 90.00°, γ = 90.00°
Closest atoms and distances in Å follow each position.
Fractional positions:
O (0.0000, 0.0000, 0.0000)  2 Tm 2.34, 4 La 2.57
Tm (0.5000, 0.0000, 0.0000)  2 O 2.34
La (0.0000, 0.5000, 0.0000)  2 O 2.57
La (0.0000, 0.0000, 0.5000)  2 O 2.57
In (0.5000, 0.5000, 0.5000)  8 La 3.48, 4 Tm 3.64

Space group ... P4/mmm, No. 123
Formation energy without anion corrections ... -679.0 kJ/mol of formula units
Total energy ... -5.812 eV/atom

=====

Question: Look up the total energy of the second one.
Answer: -5.812 eV/atom